DFT (PBE+U) results for a geometry-optimized La4Ni3WO12 structure.

```
data_La4Ni3WO12
_space_group_name_H-M_alt 'P 1'
_space_group_IT_number 1
_cell_length_a 5.565
_cell_length_b 5.565
_cell_length_c 8.086
_cell_angle_alpha 90.00
_cell_angle_beta 90.00
_cell_angle_gamma 90.00
loop_
_space_group_symop_operation_xyz
'x,y,z'
loop_
_atom_site_label
_atom_site_fract_x
_atom_site_fract_y
_atom_site_fract_z
La1 0.500 0.000 0.719
La2 0.000 0.500 0.281
La3 0.500 0.000 0.281
La4 0.000 0.500 0.719
Ni1 0.000 0.000 0.000
Ni2 0.500 0.500 0.500
Ni3 0.000 0.000 0.500
W1 0.500 0.500 0.000
O1 0.000 0.000 0.752
O2 0.500 0.500 0.243
O3 0.748 0.748 0.500
O4 0.257 0.257 0.000
O5 0.748 0.252 0.500
O6 0.257 0.743 0.000
O7 0.000 0.000 0.248
O8 0.500 0.500 0.757
O9 0.252 0.252 0.500
O10 0.743 0.743 0.000
O11 0.252 0.748 0.500
O12 0.743 0.257 0.000
```

Calculated values
Calculated total energy, hartree per atom: -0.2607